1.
Ce2Zn5Pb (GGA-PBE, optimized geometry); magnetic moment = 1.3 μB per formula unit; crystal system = orthorhombic
1.0
-1.5479 2.1438 3.6446
7.1760 -3.9781 2.6063
4.8747 7.3263 -2.2391
Zn Ce Pb
10 4 2
direct
0.6076 0.2152 0.7500
0.3399 0.6797 0.5156
0.1852 0.3704 0.6077
0.1852 0.3704 0.8923
0.3399 0.6797 0.9844
0.8148 0.6296 0.3923
0.8148 0.6296 0.1077
0.6601 0.3203 0.0156
0.3924 0.7848 0.2500
0.6601 0.3203 0.4844
0.0000 0.0000 0.0000
0.7922 0.5845 0.7500
0.0000 0.0000 0.5000
0.2078 0.4155 0.2500
0.4442 0.8885 0.7500
0.5558 0.1115 0.2500

=====

2.
CeZnPb (GGA-PBE, optimized geometry); magnetic moment = 1.0 μB per formula unit; crystal system = trigonal
1.0
-0.4920 4.7009 -2.0042
-1.9067 0.5871 -4.7311
-6.1814 0.4383 2.5456
Zn Pb Ce
2 2 2
direct
0.6667 0.1666 0.0000
0.3333 0.8334 0.0000
0.6666 0.1667 0.5016
0.3334 0.8333 0.4984
0.0000 0.5000 0.2088
0.0000 0.5000 0.7912

=====

3.
Ce5Zn3Pb3 (GGA-PBE, optimized geometry); magnetic moment = 6.3 μB per formula unit; crystal system = hexagonal
1.0
-1.8250 0.3377 2.8236
3.5199 -8.7978 3.3271
4.8948 8.5025 2.1469
Ce Zn Pb
5 3 3
direct
0.5000 0.3501 0.0000
0.5000 0.6667 0.3333
0.5000 0.6499 0.6499
0.5000 0.3333 0.6667
0.5000 0.0000 0.3501
0.5000 0.0000 0.8592
0.5000 0.1408 0.1408
0.5000 0.8592 0.0000
0.0000 0.6331 0.0000
0.0000 0.3669 0.3669
0.0000 0.0000 0.6331

=====

4.
CeZn2Pb (GGA-PBE, optimized geometry); magnetic moment = 0.7 μB per formula unit; crystal system = tetragonal
1.0
-1.9538 -1.7073 -3.7165
-3.0917 -2.0818 2.5817
-2.6794 3.6479 -0.2672
Zn Ce Pb
2 1 1
direct
0.0000 0.5000 0.0000
0.0000 0.0000 0.5000
0.5000 0.5000 0.5000
0.5000 0.0000 0.0000

=====

5.
CeZnPb (GGA-PBE, optimized geometry); magnetic moment = 0.8 μB per formula unit; crystal system = trigonal
1.0
-3.8277 0.9355 -1.7553
0.9388 -2.7860 -3.5319
-2.1145 -1.6519 3.7306
Zn Pb Ce
1 1 1
direct
0.0620 0.0000 0.0000
0.2412 0.3333 0.6667
0.6967 0.6667 0.3333

=====

6.
Ce6ZnPb2 (GGA-PBE, optimized geometry); magnetic moment = 3.1 μB per formula unit; crystal system = hexagonal
1.0
3.1377 0.0000 0.0000
0.0000 7.8903 -4.5555
0.0000 0.0000 9.1110
Pb Ce Zn
2 6 1
direct
0.0000 0.6667 0.3333
0.0000 0.3333 0.6667
0.5000 0.3120 0.3120
0.5000 0.6880 0.6880
0.5000 0.3120 0.0000
0.5000 0.6880 0.0000
0.5000 0.0000 0.3120
0.5000 0.0000 0.6880
0.0000 0.0000 0.0000

=====

7.
CeZn2Pb (GGA-PBE, optimized geometry); magnetic moment = 0.4 μB per formula unit; crystal system = cubic
1.0
-2.5006 -2.0329 3.8742
-2.5721 -4.2871 -0.6322
1.6570 -4.2668 2.1080
Zn Pb Ce
2 1 1
direct
0.2500 0.2500 0.2500
0.7500 0.7500 0.7500
0.0000 0.0000 0.0000
0.5000 0.5000 0.5000

=====

8.
Ce2ZnPb2 (GGA-PBE, optimized geometry); magnetic moment = 1.9 μB per formula unit; crystal system = orthorhombic
1.0
4.8926 0.0000 0.0000
0.0000 6.9858 0.0000
-2.4463 0.0000 8.5240
Ce Pb Zn
4 4 2
direct
0.2073 0.9295 0.4147
0.9959 0.7278 0.9918
0.0041 0.2278 0.0082
0.7927 0.4295 0.5853
0.4206 0.4767 0.8412
0.8291 0.9500 0.6583
0.1709 0.4500 0.3417
0.5794 0.9767 0.1588
0.4067 0.0503 0.8135
0.5933 0.5503 0.1865

=====

9.
Ce5ZnPb4 (GGA-PBE, optimized geometry); magnetic moment = 5.3 μB per formula unit; crystal system = tetragonal
1.0
4.1592 0.0000 0.0000
0.0000 4.1592 0.0000
0.0000 0.0000 16.3430
Pb Zn Ce
4 1 5
direct
0.0000 0.0000 0.1885
0.0000 0.0000 0.6023
0.0000 0.0000 0.3977
0.0000 0.0000 0.8115
0.0000 0.0000 0.0000
0.5000 0.5000 0.9120
0.5000 0.5000 0.7056
0.5000 0.5000 0.5000
0.5000 0.5000 0.0880
0.5000 0.5000 0.2944

=====

10.
Ce2Zn3Pb (GGA-PBE, optimized geometry); magnetic moment = 2.5 μB per formula unit; crystal system = orthorhombic
1.0
-3.1063 0.1959 5.0942
-1.5081 -5.2364 -2.4380
8.4882 -1.0791 2.5793
Ce Zn Pb
4 6 2
direct
0.2417 0.2417 0.0000
0.7583 0.7583 0.0000
0.7500 0.2500 0.5000
0.2500 0.7500 0.5000
0.6799 0.1616 0.8415
0.1600 0.1600 0.3200
0.8400 0.8400 0.6800
0.3201 0.8384 0.1585
0.8384 0.3201 0.1585
0.1616 0.6799 0.8415
0.6653 0.6653 0.3305
0.3347 0.3347 0.6695

=====

It is found that the ΔE_f values, taken in the order of the records, are -0.30 -0.18 0.07 -0.21 -0.28 -0.15 -0.17 -0.27 -0.34 -0.28 eV/atom.
It is found that the DFT total energy values, taken in the order of the records, are -48.76 -22.89 -43.80 -13.02 -11.77 -45.61 -12.88 -43.84 -49.17 -42.20 eV/cell.